1.
La2ZrCl SCAN PBEsol geometry; symmetry = P4mm; polymorph energy (0 for the lowest one) = 1.204 eV per formula unit; density of states at the Fermi level = 4.6 states/eV/f.u.; formation energy without anion corrections = -0.380 eV/atom; V = 101.4 Å³ per cell
1.0
3.297 0.000 0.000
0.000 3.297 0.000
0.000 0.000 9.334
La Zr Cl
2 1 1
direct
0.000 0.000 0.000
0.500 0.500 0.327
0.000 0.000 0.600
0.500 0.500 0.769

---

2.
LaNi3 SCAN PBEsol geometry; symmetry = R-3m; density of states at the Fermi level = 4.0 states/eV/f.u.; VASP energy = -23.16 eV/atom; V = 66.3 Å³ per cell
1.0
2.032 1.173 4.635
-2.032 1.173 4.635
0.000 -2.346 4.635
La Ni
1 3
direct
0.000 0.000 0.000
0.190 0.190 0.190
0.500 0.500 0.500
0.810 0.810 0.810

---

3.
LaYMn2Si2 SCAN PBEsol geometry; symmetry = P4mm; density of states at the Fermi level = 3.0 states/eV/f.u.; formation energy without anion corrections = -0.609 eV/atom; V = 113.2 Å³ per cell
1.0
3.921 0.000 0.000
0.000 3.921 0.000
0.000 0.000 7.360
La Y Mn Si
1 1 2 2
direct
0.000 0.000 0.000
0.500 0.500 0.351
0.000 0.500 0.656
0.500 0.000 0.656
0.000 0.000 0.469
0.500 0.500 0.839

---

4.
BeTlIn2 SCAN PBEsol geometry; symmetry = P4/mmm; polymorph energy (0 for the lowest one) = 0.000 eV per formula unit; density of states at the Fermi level = 1.5 states/eV/f.u.; V = 87.1 Å³ per cell
1.0
3.157 0.000 0.000
0.000 3.157 0.000
0.000 0.000 8.735
Be Tl In
1 1 2
direct
0.000 0.000 0.000
0.000 0.000 0.500
0.500 0.500 0.192
0.500 0.500 0.808

---

5.
Zr2AlPb SCAN PBEsol geometry; symmetry = P4/mmm; density of states at the Fermi level = 1.8 states/eV/f.u.; VASP energy = -36.62 eV/atom; V = 83.4 Å³ per cell
1.0
3.123 0.000 0.000
0.000 3.123 0.000
0.000 0.000 8.546
Zr Al Pb
2 1 1
direct
0.000 0.000 0.225
0.000 0.000 0.775
0.500 0.500 0.000
0.500 0.500 0.500

---

6.
LiRuRh3 SCAN PBEsol geometry; symmetry = Pm-3m; density of states at the Fermi level = 6.4 states/eV/f.u.; VASP energy = -26.89 eV/atom; V = 64.2 Å³ per cell
1.0
4.003 0.000 0.000
0.000 4.003 0.000
0.000 0.000 4.003
Li Ru Rh
1 1 3
direct
0.000 0.000 0.000
0.500 0.500 0.500
0.000 0.000 0.500
0.000 0.500 0.000
0.500 0.000 0.000

---

7.
P2C SCAN PBEsol geometry; symmetry = P-3m1; polymorph energy (0 for the lowest one) = 1.372 eV per formula unit; density of states at the Fermi level = 0.7 states/eV/f.u.; V = 31.9 Å³ per cell
1.0
3.065 0.000 0.000
-1.532 2.654 0.000
0.000 0.000 3.923
P C
2 1
direct
0.333 0.667 0.308
0.667 0.333 0.692
0.000 0.000 0.000

---

8.
CuSI4 SCAN PBEsol geometry; symmetry = Cm; density of states at the Fermi level = 3.0 states/eV/f.u.; formation energy without anion corrections = 0.038 eV/atom; V = 203.2 Å³ per cell
1.0
12.672 -1.898 0.000
12.672 1.898 0.000
-0.440 0.000 4.224
Cu S I
1 1 4
direct
0.000 0.000 0.000
0.544 0.544 0.980
0.623 0.623 0.351
0.725 0.725 0.888
0.826 0.826 0.662
0.940 0.940 0.465

---

9.
LiSc2Ag SCAN PBEsol geometry; symmetry = P4/mmm; density of states at the Fermi level = 3.2 states/eV/f.u.; VASP energy = -15.65 eV/atom; V = 78.8 Å³ per cell
1.0
3.426 0.000 0.000
0.000 3.426 0.000
0.000 0.000 6.715
Li Sc Ag
1 2 1
direct
0.000 0.000 0.000
0.500 0.500 0.254
0.500 0.500 0.746
0.000 0.000 0.500

---

10.
ReBi3As SCAN PBEsol geometry; symmetry = Pm-3m; density of states at the Fermi level = 2.3 states/eV/f.u.; VASP energy = -64.49 eV/atom; V = 142.3 Å³ per cell
1.0
5.221 0.000 0.000
0.000 5.221 0.000
0.000 0.000 5.221
Re Bi As
1 3 1
direct
0.000 0.000 0.000
0.000 0.000 0.500
0.000 0.500 0.000
0.500 0.000 0.000
0.500 0.500 0.500

---

11.
ScNiHg2 SCAN PBEsol geometry; symmetry = P4/mmm; density of states at the Fermi level = 2.8 states/eV/f.u.; VASP energy = -41.83 eV/atom; V = 72.0 Å³ per cell
1.0
4.127 0.000 0.000
0.000 4.127 0.000
0.000 0.000 4.226
Sc Ni Hg
1 1 2
direct
0.000 0.000 0.000
0.500 0.500 0.000
0.000 0.500 0.500
0.500 0.000 0.500

---

12.
Ba2LiCu SCAN PBEsol geometry; symmetry = F-43m; density of states at the Fermi level = 3.6 states/eV/f.u.; VASP energy = -23.92 eV/atom; V = 112.6 Å³ per cell
1.0
0.000 3.833 3.833
3.833 0.000 3.833
3.833 3.833 0.000
Ba Li Cu
2 1 1
direct
0.000 0.000 0.000
0.250 0.250 0.250
0.500 0.500 0.500
0.750 0.750 0.750